Record 1
# SmMgH6Pt2 (PBE-GGA, optimized geometry)
# Final energy ... -4.31 eV per atom
data_SmMgH6Pt2
_cell_length_a 6.072
_cell_length_b 6.072
_cell_length_c 6.072
_cell_angle_alpha 44.07
_cell_angle_beta 44.07
_cell_angle_gamma 44.07
_space_group_name_H-M_alt 'P 1'
_space_group_IT_number 1
loop_
_space_group_symop_operation_xyz
'x,y,z'
loop_
_atom_site_label
_atom_site_type_symbol
_atom_site_fract_x
_atom_site_fract_y
_atom_site_fract_z
Sm1 Sm 0.000 0.000 0.000
Mg1 Mg 0.500 0.500 0.500
H1 H 0.075 0.556 0.556
H2 H 0.444 0.444 0.925
H3 H 0.444 0.925 0.444
H4 H 0.556 0.075 0.556
H5 H 0.556 0.556 0.075
H6 H 0.925 0.444 0.444
Pt1 Pt 0.212 0.212 0.212
Pt2 Pt 0.788 0.788 0.788

---

Record 2
# Ni2OsRh (PBE-GGA, optimized geometry)
# Final energy ... -7.43 eV per atom
data_Ni2OsRh
_cell_length_a 8.499
_cell_length_b 2.643
_cell_length_c 4.618
_cell_angle_alpha 90.00
_cell_angle_beta 99.85
_cell_angle_gamma 90.00
_space_group_name_H-M_alt 'P 1'
_space_group_IT_number 1
loop_
_space_group_symop_operation_xyz
'x,y,z'
loop_
_atom_site_label
_atom_site_type_symbol
_atom_site_fract_x
_atom_site_fract_y
_atom_site_fract_z
Ni1 Ni 0.248 0.000 0.237
Ni2 Ni 0.252 0.500 0.763
Ni3 Ni 0.748 0.500 0.237
Ni4 Ni 0.752 0.000 0.763
Os1 Os 0.000 0.500 0.000
Os2 Os 0.500 0.000 0.000
Rh1 Rh 0.000 0.000 0.500
Rh2 Rh 0.500 0.500 0.500

---

Record 3
# SmSi2Os2 (PBE-GGA, optimized geometry)
# Final energy ... -8.13 eV per atom
# Formation energy (no corrections) ... -2.6 eV per formula unit
# Distance to the lowest polymorph of the same formula ... 0.186 eV per atom
data_SmSi2Os2
_cell_length_a 4.105
_cell_length_b 4.105
_cell_length_c 5.071
_cell_angle_alpha 90.00
_cell_angle_beta 90.00
_cell_angle_gamma 90.00
_space_group_name_H-M_alt 'P 1'
_space_group_IT_number 1
loop_
_space_group_symop_operation_xyz
'x,y,z'
loop_
_atom_site_label
_atom_site_type_symbol
_atom_site_fract_x
_atom_site_fract_y
_atom_site_fract_z
Sm1 Sm 0.000 0.000 0.000
Si1 Si 0.500 0.500 0.237
Si2 Si 0.500 0.500 0.763
Os1 Os 0.000 0.500 0.500
Os2 Os 0.500 0.000 0.500